Entry 1:
The following is a PBE-GGA calculation of crystalline ScTc2Hg at its relaxed geometry, from Alexandria via LeMat-Bulk.

```
ScTc2Hg
1.0
-3.515 -0.163 -2.540
1.617 -2.978 -2.048
-1.666 -2.605 2.472
Sc Tc Hg
1 2 1
direct
0.500 0.000 0.500 Sc
0.000 0.500 0.500 Tc
0.000 0.000 0.000 Tc
0.500 0.500 0.000 Hg
```


Entry 2:
The following is a PBE-GGA calculation of crystalline ZnNiP2 at its relaxed geometry, from Alexandria via LeMat-Bulk.

```
ZnNiP2
1.0
4.738 -0.122 0.058
1.667 4.437 -0.058
-2.700 -2.903 2.598
P Zn Ni
2 1 1
direct
0.997 0.997 0.000 P
0.774 0.274 0.500 P
0.505 0.505 0.000 Zn
0.223 0.723 0.500 Ni
```


| no. | energy relative to the elements (eV per atom) | final energy (eV per atom) |
| --- | --- | --- |
| 1 | 0.152 | -6.689 |
| 2 | 0.244 | -4.224 |